! LiNpN2 | Alexandria via LeMat-Bulk | PBE-GGA | optimized geometry; values from VASP
&SYSTEM
  ibrav = 0, nat = 4, ntyp = 3
/
ATOMIC_SPECIES
Np 237.00 Np.upf
Li 6.94 Li.upf
N 14.01 N.upf
CELL_PARAMETERS angstrom
-2.3958 2.2459 0.1853
-2.8541 -0.7558 1.4495
0.4438 2.3987 5.8563
ATOMIC_POSITIONS angstrom
Np 0.0000 0.0000 0.0000
Li -2.4031 1.9444 3.7456
N -0.1978 1.8424 4.3028
N -4.6083 2.0464 3.1883
! **V**: 14.18 Å³ per atom
! **Excess energy over the best structure of this formula in the dataset**: 0.949 eV per atom
! **E**: -7.949 eV/atom
! **Formation energy without anion corrections**: -73 meV/atom



! Dy2ThMg | Alexandria via LeMat-Bulk | PBE-GGA | optimized geometry; values from VASP
&SYSTEM
  ibrav = 0, nat = 4, ntyp = 3
/
ATOMIC_SPECIES
Mg 24.30 Mg.upf
Th 232.04 Th.upf
Dy 162.50 Dy.upf
CELL_PARAMETERS angstrom
-2.0463 2.6524 -0.9823
-3.1658 -0.6363 -1.3267
-6.4948 1.1251 10.3649
ATOMIC_POSITIONS angstrom
Mg 0.0000 0.0000 0.0000
Th -5.8535 1.5706 4.0279
Dy -5.2119 1.0029 7.3622
Dy -6.4951 2.1382 0.6937
! **Calculated formation energy**: 0.78 eV per formula unit
! **V**: 31.97 Å³ per atom
! **Excess energy over the best structure of this formula in the dataset**: 0.238 eV per atom
! **E**: -4.361 eV/atom



! ZrMo2C | Alexandria via LeMat-Bulk | PBE-GGA | optimized geometry; values from VASP
&SYSTEM
  ibrav = 0, nat = 4, ntyp = 3
/
ATOMIC_SPECIES
Mo 95.94 Mo.upf
C 12.01 C.upf
Zr 91.22 Zr.upf
CELL_PARAMETERS angstrom
-2.0182 1.1058 -1.7376
-1.1565 -1.5724 2.1226
-0.3809 6.2254 4.4042
ATOMIC_POSITIONS angstrom
Mo -0.3608 5.8976 4.1723
Mo -1.6775 1.2401 1.2348
C -1.8789 4.5317 3.5634
Zr -0.2097 3.4276 2.4248
! **Calculated formation energy**: 0.96 eV per formula unit
! **V**: 14.73 Å³ per atom
! **E**: -9.619 eV/atom



! CaHoReO6 | Alexandria via LeMat-Bulk | PBE-GGA | optimized geometry; values from VASP
&SYSTEM
  ibrav = 0, nat = 9, ntyp = 4
/
ATOMIC_SPECIES
Ca 40.08 Ca.upf
Ho 164.93 Ho.upf
Re 186.21 Re.upf
O 16.00 O.upf
CELL_PARAMETERS angstrom
-3.6756 3.1094 0.9660
-1.3794 0.0238 -5.3248
-2.2344 -3.6987 3.4034
ATOMIC_POSITIONS angstrom
Ca -1.9494 -2.4579 0.4940
Ho -3.5022 0.3376 -1.9324
Re -1.8378 1.5547 0.4830
O -5.2188 -0.3794 -0.6966
O -3.0500 2.2249 -0.8271
O -4.6497 1.2077 -3.6395
O -2.0667 -0.1694 -0.2982
O -2.0314 0.8749 -3.5249
O -3.9965 -1.7330 -2.6078
! **V**: 14.30 Å³ per atom
! **E**: -7.904 eV/atom
! **Formation energy without anion corrections**: -2484 meV/atom



! AsPtBr2F | Alexandria via LeMat-Bulk | PBE-GGA | optimized geometry; values from VASP
&SYSTEM
  ibrav = 0, nat = 5, ntyp = 4
/
ATOMIC_SPECIES
As 74.92 As.upf
Br 79.90 Br.upf
Pt 195.08 Pt.upf
F 19.00 F.upf
CELL_PARAMETERS angstrom
5.2258 0.0000 0.0000
0.0000 5.2258 0.0000
0.0000 0.0000 4.7324
ATOMIC_POSITIONS angstrom
As 0.0000 0.0000 2.3662
Br 0.0000 2.6129 0.0000
Br 2.6129 0.0000 0.0000
Pt 0.0000 0.0000 0.0000
F 2.6129 2.6129 2.3662
! **V**: 25.85 Å³ per atom
! **Excess energy over the best structure of this formula in the dataset**: 0.000 eV per atom
! **E**: -3.017 eV/atom
! **Formation energy without anion corrections**: 164 meV/atom



! NbCr2S4 | Alexandria via LeMat-Bulk | PBE-GGA | optimized geometry; values from VASP
&SYSTEM
  ibrav = 0, nat = 14, ntyp = 3
/
ATOMIC_SPECIES
Nb 92.91 Nb.upf
Cr 52.00 Cr.upf
S 32.06 S.upf
CELL_PARAMETERS angstrom
-1.5498 2.8311 0.8998
-0.7697 -3.8948 4.6903
10.1154 3.9636 4.9514
ATOMIC_POSITIONS angstrom
Nb 6.4111 3.7452 5.4967
Nb 1.3849 -0.8453 5.0449
Cr 3.9170 1.0479 3.4495
Cr 7.4580 3.2544 8.8440
Cr 0.3380 -0.3545 1.6975
Cr 3.8789 1.8520 7.0921
S -0.4782 0.4881 3.8788
S 2.2658 1.5634 5.2219
S 8.2742 2.4117 6.6628
S 5.5302 1.3365 5.3196
S 5.3576 2.0543 9.0024
S 2.4383 0.8456 1.5392
S -0.7749 1.4156 0.4499
S 4.2828 3.3974 2.9256
! **V**: 16.89 Å³ per atom
! **E**: -7.162 eV/atom
! **Formation energy without anion corrections**: -615 meV/atom



! MnTl2S2 | Alexandria via LeMat-Bulk | PBE-GGA | optimized geometry; values from VASP
&SYSTEM
  ibrav = 0, nat = 5, ntyp = 3
/
ATOMIC_SPECIES
Mn 54.94 Mn.upf
Tl 204.38 Tl.upf
S 32.06 S.upf
CELL_PARAMETERS angstrom
3.7571 0.0000 0.7015
1.8801 3.3160 0.3428
0.0173 -1.0105 10.3203
ATOMIC_POSITIONS angstrom
Mn 0.9487 1.1527 5.3316
Tl 3.4324 2.2496 2.4407
Tl 2.2220 0.0558 8.9239
S 3.0802 0.0463 4.3271
S 2.5742 2.2591 7.0375
! **V**: 25.70 Å³ per atom
! **E**: -4.819 eV/atom
! **Formation energy without anion corrections**: -387 meV/atom



! KMnCdBr5 | Alexandria via LeMat-Bulk | PBE-GGA | optimized geometry; values from VASP
&SYSTEM
  ibrav = 0, nat = 16, ntyp = 4
/
ATOMIC_SPECIES
K 39.10 K.upf
Mn 54.94 Mn.upf
Cd 112.41 Cd.upf
Br 79.90 Br.upf
CELL_PARAMETERS angstrom
7.8493 0.0188 0.0161
-2.2733 7.5130 0.0161
-2.2934 -3.0978 9.2527
ATOMIC_POSITIONS angstrom
K 0.6607 4.1419 2.3293
K 2.6219 0.2921 6.9556
Mn 4.0734 1.6154 2.3293
Mn -0.7908 2.8186 6.9556
Cd -1.1467 -1.5489 4.6264
Cd 0.0000 0.0000 0.0000
Br -2.0071 6.1169 2.3293
Br 5.2897 -1.6829 6.9556
Br 6.1753 2.0991 1.0608
Br -2.8927 2.3349 8.2241
Br 4.2243 -0.5362 3.5977
Br -0.9417 4.9702 5.6872
Br 3.4444 3.2962 4.0860
Br -0.1618 1.1378 5.1989
Br 2.2822 1.7263 0.5725
Br 1.0005 2.7077 8.7124
! **V**: 34.18 Å³ per atom
! **E**: -3.484 eV/atom
! **Formation energy without anion corrections**: -1041 meV/atom